A plane-wave DFT calculation with GGA-PBEsol was carried out for LaTcAs2 after structural relaxation.

- Crystal system: orthorhombic
- VASP energy: -7.201 eV per atom

Geometry as POSCAR:
```
LaTcAs2
1.0
-1.630 1.818 6.875
1.630 -1.818 6.875
1.630 1.818 -6.875
La Tc As
1 1 2
Direct
0.000 0.000 0.000
0.245 0.745 0.500
0.378 0.378 0.000
0.673 0.173 0.500
```